1.
# SrBO3

A relaxed structure of SrBO3 (PBE, the Alexandria database).

Computed properties:
**Raw total energy**: -6.09 eV/atom

The structure in POSCAR format:
```
SrBO3
1.0
3.5600 0.0000 0.0000
0.0000 3.5600 0.0000
0.0000 0.0000 3.5600
Sr B O
1 1 3
Direct
0.0000 0.0000 0.0000
0.5000 0.5000 0.5000
0.0000 0.5000 0.5000
0.5000 0.0000 0.5000
0.5000 0.5000 0.0000
```



2.
# Sr3BO

A relaxed structure of Sr3BO (PBE, the Alexandria database).

Computed properties:
**Polymorph energy (0 for the lowest one)**: 0 meV/atom

The structure in POSCAR format:
```
Sr3BO
1.0
5.0037 0.0000 0.0000
0.0000 5.0037 0.0000
0.0000 0.0000 5.0037
Sr B O
3 1 1
Direct
0.0000 0.0000 0.5000
0.0000 0.5000 0.0000
0.5000 0.0000 0.0000
0.5000 0.5000 0.5000
0.0000 0.0000 0.0000
```



3.
# Sr2BO4

A relaxed structure of Sr2BO4 (PBE, the Alexandria database).

Computed properties:
**Polymorph energy (0 for the lowest one)**: 137 meV/atom

The structure in POSCAR format:
```
Sr2BO4
1.0
5.3290 0.0000 0.0000
0.0000 5.4504 0.0000
-1.8203 0.0000 6.8841
Sr B O
4 2 8
Direct
0.2089 0.2500 0.0350
0.2757 0.2500 0.5510
0.7243 0.7500 0.4490
0.7911 0.7500 0.9650
0.2209 0.7500 0.7768
0.7791 0.2500 0.2232
0.0540 0.5288 0.7368
0.0540 0.9712 0.7368
0.3308 0.7500 0.9946
0.4201 0.7500 0.6647
0.5799 0.2500 0.3353
0.6692 0.2500 0.0054
0.9460 0.0288 0.2632
0.9460 0.4712 0.2632
```



4.
# SrB3O

A relaxed structure of SrB3O (PBE, the Alexandria database).

Computed properties:
**Polymorph energy (0 for the lowest one)**: 0 meV/atom

The structure in POSCAR format:
```
SrB3O
1.0
4.1239 0.0000 0.0000
0.0000 4.1239 0.0000
0.0000 0.0000 4.1239
Sr B O
1 3 1
Direct
0.0000 0.0000 0.0000
0.0000 0.5000 0.5000
0.5000 0.0000 0.5000
0.5000 0.5000 0.0000
0.5000 0.5000 0.5000
```



5.
# SrBO2

A relaxed structure of SrBO2 (PBE, the Alexandria database).

Computed properties:
**Raw total energy**: -6.02 eV/atom

The structure in POSCAR format:
```
SrBO2
1.0
5.1592 0.0000 0.0000
0.0000 5.1592 0.0000
0.0000 0.0000 6.4495
Sr B O
4 4 8
Direct
0.0000 0.0000 0.0000
0.0000 0.5000 0.2500
0.5000 0.0000 0.7500
0.5000 0.5000 0.5000
0.0000 0.0000 0.5000
0.0000 0.5000 0.7500
0.5000 0.0000 0.2500
0.5000 0.5000 0.0000
0.0745 0.2500 0.6250
0.2500 0.5745 0.8750
0.2500 0.9255 0.3750
0.4255 0.2500 0.1250
0.5745 0.7500 0.1250
0.7500 0.0745 0.3750
0.7500 0.4255 0.8750
0.9255 0.7500 0.6250
```



6.
# Sr2BO4

A relaxed structure of Sr2BO4 (PBE, the Alexandria database).

Computed properties:
**Polymorph energy (0 for the lowest one)**: 0 meV/atom

The structure in POSCAR format:
```
Sr2BO4
1.0
6.8443 0.0000 0.0000
-1.5321 8.4496 0.0000
-0.1485 -4.2821 7.4471
Sr B O
8 4 16
Direct
0.1996 0.0733 0.3639
0.2267 0.4138 0.8926
0.2635 0.6101 0.4761
0.2677 0.0096 0.8901
0.7323 0.9904 0.1099
0.7365 0.3899 0.5239
0.7733 0.5862 0.1074
0.8004 0.9267 0.6361
0.0080 0.3125 0.1500
0.4848 0.6521 0.8003
0.5152 0.3479 0.1997
0.9920 0.6875 0.8500
0.0065 0.2860 0.2997
0.0495 0.8346 0.0233
0.0704 0.4887 0.1789
0.1603 0.0838 0.6593
0.2753 0.9386 0.5540
0.4038 0.4783 0.6560
0.4754 0.1948 0.2238
0.4804 0.3239 0.0292
0.5196 0.6761 0.9708
0.5246 0.8052 0.7762
0.5962 0.5217 0.3440
0.7247 0.0614 0.4460
0.8397 0.9162 0.3407
0.9296 0.5113 0.8211
0.9505 0.1654 0.9767
0.9935 0.7140 0.7003
```



| no. | magnetization (μB per formula unit) |
| --- | --- |
| 1 | 0.92 |
| 2 | 0.90 |
| 3 | 1.03 |
| 4 | 0.40 |
| 5 | 0.53 |
| 6 | 0.00 |